First-principles (PBE) data for crystalline ErBe17Nb at its relaxed geometry, as listed in Alexandria via LeMat-Bulk.

Lattice parameters (Å, degrees): 5.675 5.675 5.675 82.89 82.89 82.89
Element x y z (fractional)
Be  0.654  0.162  0.654
Be  0.003  0.003  0.499
Nb  0.335  0.335  0.335
Be  0.162  0.654  0.654
Be  0.002  0.285  0.712
Be  0.099  0.099  0.099
Be  0.712  0.002  0.285
Be  0.654  0.654  0.162
Be  0.340  0.340  0.844
Be  0.499  0.003  0.003
Be  0.002  0.712  0.285
Er  0.661  0.661  0.661
Be  0.907  0.907  0.907
Be  0.844  0.340  0.340
Be  0.340  0.844  0.340
Be  0.003  0.499  0.003
Be  0.285  0.712  0.002
Be  0.285  0.002  0.712
Be  0.712  0.285  0.002

ΔE_f	-3.34	eV/f.u.